[1]
! PBE-GGA SiTe2H, optimized geometry; values from VASP
! Raw total energy (eV/cell): -26.53
! Size of the total moment (μB/cell): 0.00
! Symmetry: I-42d, No. 122
! Offset from the most stable computed form (meV/atom): 428
! DOS at the Fermi energy (states/eV/atom): 0.481
&SYSTEM
  ibrav = 0, nat = 8, ntyp = 3
/
ATOMIC_SPECIES
H 1.01 H.upf
Si 28.09 Si.upf
Te 127.60 Te.upf
CELL_PARAMETERS angstrom
6.417 0.000 0.000
0.000 6.417 0.000
3.208 3.208 4.417
ATOMIC_POSITIONS crystal
H 0.500 0.500 0.000
Si 0.000 0.000 0.000
H 0.250 0.750 0.500
Te 0.604 0.125 0.250
Si 0.750 0.250 0.500
Te 0.375 0.396 0.750
Te 0.875 0.854 0.750
Te 0.146 0.625 0.250

[2]
! PBE-GGA LaHo2Ag2Hg2, optimized geometry; values from VASP
! Raw total energy (eV/cell): -22.20
! Size of the total moment (μB/cell): 0.00
! Symmetry: R-3m, No. 166
! DOS at the Fermi energy (states/eV/atom): 0.944
&SYSTEM
  ibrav = 0, nat = 7, ntyp = 4
/
ATOMIC_SPECIES
Hg 200.59 Hg.upf
Ag 107.87 Ag.upf
Ho 164.93 Ho.upf
La 138.91 La.upf
CELL_PARAMETERS angstrom
-1.470 0.036 4.675
-4.156 -2.261 1.279
2.631 -8.189 3.459
ATOMIC_POSITIONS crystal
Hg 0.747 0.747 0.758
Hg 0.253 0.253 0.242
Ag 0.591 0.591 0.228
Ho 0.873 0.873 0.380
Ag 0.409 0.409 0.772
La 0.000 0.000 0.000
Ho 0.127 0.127 0.620

[3]
! PBE-GGA Pr3Sm4Ho5, optimized geometry; values from VASP
! Raw total energy (eV/cell): -55.90
! Size of the total moment (μB/cell): 0.00
! Symmetry: P-1, No. 2
! Offset from the most stable computed form (meV/atom): 0
! DOS at the Fermi energy (states/eV/atom): 1.321
&SYSTEM
  ibrav = 0, nat = 12, ntyp = 3
/
ATOMIC_SPECIES
Ho 164.93 Ho.upf
Pr 140.91 Pr.upf
Sm 150.36 Sm.upf
CELL_PARAMETERS angstrom
-6.072 3.851 -0.521
2.309 -8.942 6.683
-0.224 12.801 -2.241
ATOMIC_POSITIONS crystal
Ho 0.500 0.000 0.500
Pr 0.000 0.000 0.500
Ho 0.250 0.499 0.999
Ho 0.750 0.501 0.001
Pr 0.583 0.165 0.332
Sm 0.831 0.663 0.832
Sm 0.918 0.837 0.669
Pr 0.417 0.835 0.668
Ho 0.669 0.334 0.165
Ho 0.331 0.666 0.835
Sm 0.082 0.163 0.331
Sm 0.169 0.337 0.168

[4]
! PBE-GGA SrCa2Ho, optimized geometry; values from VASP
! Raw total energy (eV/cell): -9.61
! Size of the total moment (μB/cell): 0.00
! Symmetry: P4/mmm, No. 123
! Offset from the most stable computed form (meV/atom): 53
! DOS at the Fermi energy (states/eV/atom): 1.607
&SYSTEM
  ibrav = 0, nat = 4, ntyp = 3
/
ATOMIC_SPECIES
Ho 164.93 Ho.upf
Ca 40.08 Ca.upf
Sr 87.62 Sr.upf
CELL_PARAMETERS angstrom
-1.386 2.249 -3.294
-2.040 -5.163 -2.667
-5.448 0.716 2.781
ATOMIC_POSITIONS crystal
Ho 0.500 0.000 0.000
Ca 0.000 0.000 0.500
Sr 0.500 0.500 0.500
Ca 0.000 0.500 0.000

Q: What is the size of the total moment in the first record?
A: 0.00 μB/cell